# NaTiH2I (PBE, relaxed)
# Raw total energy ... -3.63 eV per atom
data_NaTiH2I
_space_group_name_H-M_alt 'P 1'
_space_group_IT_number 1
_cell_length_a 4.0930
_cell_length_b 4.0930
_cell_length_c 5.7189
_cell_angle_alpha 90.00
_cell_angle_beta 90.00
_cell_angle_gamma 90.00
loop_
_space_group_symop_operation_xyz
'x,y,z'
loop_
_atom_site_label
_atom_site_type_symbol
_atom_site_fract_x
_atom_site_fract_y
_atom_site_fract_z
Na1 Na 0.0000 0.0000 0.0000
Ti1 Ti 0.5000 0.5000 0.5000
H1 H 0.0000 0.5000 0.5000
H2 H 0.5000 0.0000 0.5000
I1 I 0.5000 0.5000 0.0000